First-principles (PBE-GGA) data for a relaxed structure of TbCdIrAu, as listed in the Alexandria database.

Results
SG	F-43m, No. 216
theoretical density	13.65	g cm⁻³
DFT formation energy	-0.429	eV/atom
final energy	-4.850	eV per atom
M_tot	0.00	Bohr magnetons per cell
DOS(E_F)	2.3	states/eV/f.u.

Cell: 4.843 4.843 4.843 Å, 60.00 60.00 60.00°
Fractional positions:
Au1 0.000 0.000 0.000
Cd1 0.750 0.750 0.750
Ir1 0.500 0.500 0.500
Tb1 0.250 0.250 0.250